<P>
# Zn2GaI (PBE, optimized geometry)
data_Zn2GaI
_space_group_name_H-M_alt 'P 1'
_space_group_IT_number 1
_space_group_name_Hall 'P 1'
_cell_length_a 6.598
_cell_length_b 6.598
_cell_length_c 7.302
_cell_angle_alpha 63.14
_cell_angle_beta 63.14
_cell_angle_gamma 90.00
loop_
_atom_site_label
_atom_site_fract_x
_atom_site_fract_y
_atom_site_fract_z
I1 0.000 0.000 0.000
I2 0.750 0.250 0.500
Zn1 0.572 0.125 0.250
Zn2 0.178 0.625 0.250
Zn3 0.375 0.428 0.750
Zn4 0.875 0.822 0.750
Ga1 0.500 0.500 0.000
Ga2 0.250 0.750 0.500
# * calculated volume: 30.57 A^3/atom
# * magnetic moment: 0.00 μB/atom
# * SG: I-42d (122)

<Q>
# Zn2GaI (PBE, optimized geometry)
data_Zn2GaI
_space_group_name_H-M_alt 'P 1'
_space_group_IT_number 1
_space_group_name_Hall 'P 1'
_cell_length_a 5.246
_cell_length_b 5.246
_cell_length_c 5.246
_cell_angle_alpha 60.00
_cell_angle_beta 60.00
_cell_angle_gamma 60.00
loop_
_atom_site_label
_atom_site_fract_x
_atom_site_fract_y
_atom_site_fract_z
I1 0.500 0.500 0.500
Zn1 0.250 0.250 0.250
Zn2 0.750 0.750 0.750
Ga1 0.000 0.000 0.000
# * calculated volume: 25.52 A^3/atom
# * magnetic moment: 0.00 μB/atom
# * SG: Fm-3m (225)

Most stable one: <P>, least stable one: <Q>.

<P>
# ZrGa3I (PBE, optimized geometry)
data_ZrGa3I
_space_group_name_H-M_alt 'P 1'
_space_group_IT_number 1
_space_group_name_Hall 'P 1'
_cell_length_a 5.470
_cell_length_b 5.470
_cell_length_c 5.470
_cell_angle_alpha 90.00
_cell_angle_beta 90.00
_cell_angle_gamma 90.00
loop_
_atom_site_label
_atom_site_fract_x
_atom_site_fract_y
_atom_site_fract_z
I1 0.500 0.500 0.500
Ga1 0.000 0.500 0.000
Ga2 0.000 0.000 0.500
Ga3 0.500 0.000 0.000
Zr1 0.000 0.000 0.000
# * calculated volume: 32.73 A^3/atom
# * magnetic moment: 0.45 μB/atom
# * SG: Pm-3m (221)

<Q>
# ZrGa3I (PBE, optimized geometry)
data_ZrGa3I
_space_group_name_H-M_alt 'P 1'
_space_group_IT_number 1
_space_group_name_Hall 'P 1'
_cell_length_a 5.382
_cell_length_b 5.382
_cell_length_c 5.382
_cell_angle_alpha 90.00
_cell_angle_beta 90.00
_cell_angle_gamma 90.00
loop_
_atom_site_label
_atom_site_fract_x
_atom_site_fract_y
_atom_site_fract_z
I1 0.000 0.000 0.000
Ga1 0.000 0.500 0.000
Ga2 0.000 0.000 0.500
Ga3 0.500 0.000 0.000
Zr1 0.500 0.500 0.500
# * calculated volume: 31.18 A^3/atom
# * magnetic moment: 0.00 μB/atom
# * SG: Pm-3m (221)

Most stable one: <P>, least stable one: <Q>.

<P>
# ZrGa2I (PBE, optimized geometry)
data_ZrGa2I
_space_group_name_H-M_alt 'P 1'
_space_group_IT_number 1
_space_group_name_Hall 'P 1'
_cell_length_a 5.110
_cell_length_b 5.110
_cell_length_c 5.110
_cell_angle_alpha 60.00
_cell_angle_beta 60.00
_cell_angle_gamma 60.00
loop_
_atom_site_label
_atom_site_fract_x
_atom_site_fract_y
_atom_site_fract_z
I1 0.500 0.500 0.500
Ga1 0.250 0.250 0.250
Ga2 0.750 0.750 0.750
Zr1 0.000 0.000 0.000
# * calculated volume: 23.59 A^3/atom
# * magnetic moment: 0.00 μB/atom
# * SG: Fm-3m (225)

<Q>
# ZrGa2I (PBE, optimized geometry)
data_ZrGa2I
_space_group_name_H-M_alt 'P 1'
_space_group_IT_number 1
_space_group_name_Hall 'P 1'
_cell_length_a 8.166
_cell_length_b 8.166
_cell_length_c 6.480
_cell_angle_alpha 50.94
_cell_angle_beta 50.94
_cell_angle_gamma 90.00
loop_
_atom_site_label
_atom_site_fract_x
_atom_site_fract_y
_atom_site_fract_z
I1 0.000 0.000 0.000
I2 0.750 0.250 0.500
Ga1 0.594 0.125 0.250
Ga2 0.156 0.625 0.250
Ga3 0.375 0.406 0.750
Ga4 0.875 0.844 0.750
Zr1 0.500 0.500 0.000
Zr2 0.250 0.750 0.500
# * calculated volume: 24.52 A^3/atom
# * magnetic moment: 0.00 μB/atom
# * SG: I-42d (122)

Most stable one: <Q>, least stable one: <P>.

<P>
# InGa4 (PBE, optimized geometry)
data_InGa4
_space_group_name_H-M_alt 'P 1'
_space_group_IT_number 1
_space_group_name_Hall 'P 1'
_cell_length_a 4.364
_cell_length_b 4.364
_cell_length_c 6.388
_cell_angle_alpha 109.07
_cell_angle_beta 109.07
_cell_angle_gamma 92.48
loop_
_atom_site_label
_atom_site_fract_x
_atom_site_fract_y
_atom_site_fract_z
In1 0.500 0.000 0.500
Ga1 0.750 0.750 0.000
Ga2 0.250 0.250 0.000
Ga3 0.888 0.388 0.277
Ga4 0.112 0.612 0.723
# * calculated volume: 21.42 A^3/atom
# * magnetic moment: 0.00 μB/atom
# * SG: Fmmm (69)

<Q>
# InGa4 (PBE, optimized geometry)
data_InGa4
_space_group_name_H-M_alt 'P 1'
_space_group_IT_number 1
_space_group_name_Hall 'P 1'
_cell_length_a 5.303
_cell_length_b 5.303
_cell_length_c 5.303
_cell_angle_alpha 90.00
_cell_angle_beta 90.00
_cell_angle_gamma 90.00
loop_
_atom_site_label
_atom_site_fract_x
_atom_site_fract_y
_atom_site_fract_z
Ga1 0.000 0.000 0.000
Ga2 0.500 0.000 0.500
Ga3 0.000 0.500 0.500
Ga4 0.500 0.500 0.000
In1 0.500 0.500 0.500
# * calculated volume: 29.82 A^3/atom
# * magnetic moment: 0.00 μB/atom
# * SG: Pm-3m (221)

Most stable one: <P>, least stable one: <Q>.

<P>
# In5Ga (PBE, optimized geometry)
data_In5Ga
_space_group_name_H-M_alt 'P 1'
_space_group_IT_number 1
_space_group_name_Hall 'P 1'
_cell_length_a 3.425
_cell_length_b 5.366
_cell_length_c 8.946
_cell_angle_alpha 107.45
_cell_angle_beta 90.00
_cell_angle_gamma 90.00
loop_
_atom_site_label
_atom_site_fract_x
_atom_site_fract_y
_atom_site_fract_z
In1 0.500 0.855 0.711
In2 0.000 0.682 0.364
In3 0.500 0.500 0.000
In4 0.000 0.318 0.636
In5 0.500 0.145 0.289
Ga1 0.000 0.000 0.000
# * calculated volume: 26.15 A^3/atom
# * magnetic moment: 0.00 μB/atom
# * SG: Cmmm (65)

<Q>
# In5Ga (PBE, optimized geometry)
data_In5Ga
_space_group_name_H-M_alt 'P 1'
_space_group_IT_number 1
_space_group_name_Hall 'P 1'
_cell_length_a 4.426
_cell_length_b 5.251
_cell_length_c 7.181
_cell_angle_alpha 111.44
_cell_angle_beta 90.00
_cell_angle_gamma 90.00
loop_
_atom_site_label
_atom_site_fract_x
_atom_site_fract_y
_atom_site_fract_z
Ga1 0.000 0.000 0.000
In1 0.500 0.842 0.685
In2 0.000 0.667 0.335
In3 0.500 0.500 0.000
In4 0.000 0.333 0.665
In5 0.500 0.158 0.315
# * calculated volume: 25.89 A^3/atom
# * magnetic moment: 0.00 μB/atom
# * SG: Cmmm (65)

Most stable one: <Q>, least stable one: <P>.

<P>
# InGaIr3 (PBE, optimized geometry)
data_InGaIr3
_space_group_name_H-M_alt 'P 1'
_space_group_IT_number 1
_space_group_name_Hall 'P 1'
_cell_length_a 4.864
_cell_length_b 4.864
_cell_length_c 4.864
_cell_angle_alpha 90.00
_cell_angle_beta 90.00
_cell_angle_gamma 90.00
loop_
_atom_site_label
_atom_site_fract_x
_atom_site_fract_y
_atom_site_fract_z
Ir1 0.000 0.500 0.000
Ir2 0.000 0.000 0.500
Ir3 0.500 0.000 0.000
Ga1 0.500 0.500 0.500
In1 0.000 0.000 0.000
# * calculated volume: 23.01 A^3/atom
# * magnetic moment: 0.00 μB/atom
# * SG: Pm-3m (221)

<Q>
# InGaIr3 (PBE, optimized geometry)
data_InGaIr3
_space_group_name_H-M_alt 'P 1'
_space_group_IT_number 1
_space_group_name_Hall 'P 1'
_cell_length_a 4.561
_cell_length_b 4.561
_cell_length_c 4.561
_cell_angle_alpha 90.00
_cell_angle_beta 90.00
_cell_angle_gamma 90.00
loop_
_atom_site_label
_atom_site_fract_x
_atom_site_fract_y
_atom_site_fract_z
Ir1 0.000 0.500 0.000
Ir2 0.000 0.000 0.500
Ir3 0.500 0.000 0.000
Ga1 0.000 0.000 0.000
In1 0.500 0.500 0.500
# * calculated volume: 18.98 A^3/atom
# * magnetic moment: 0.00 μB/atom
# * SG: Pm-3m (221)

Most stable one: <Q>, least stable one: <P>.

<P>
# K2In2Ga (PBE, optimized geometry)
data_K2In2Ga
_space_group_name_H-M_alt 'P 1'
_space_group_IT_number 1
_space_group_name_Hall 'P 1'
_cell_length_a 4.667
_cell_length_b 4.667
_cell_length_c 8.830
_cell_angle_alpha 74.68
_cell_angle_beta 74.68
_cell_angle_gamma 90.00
loop_
_atom_site_label
_atom_site_fract_x
_atom_site_fract_y
_atom_site_fract_z
K1 0.750 0.250 0.500
K2 0.250 0.750 0.500
Ga1 0.000 0.000 0.000
In1 0.414 0.414 0.173
In2 0.586 0.586 0.827
# * calculated volume: 35.67 A^3/atom
# * magnetic moment: 0.00 μB/atom
# * SG: I4/mmm (139)

<Q>
# K2In2Ga (PBE, optimized geometry)
data_K2In2Ga
_space_group_name_H-M_alt 'P 1'
_space_group_IT_number 1
_space_group_name_Hall 'P 1'
_cell_length_a 7.506
_cell_length_b 7.506
_cell_length_c 6.031
_cell_angle_alpha 90.00
_cell_angle_beta 90.00
_cell_angle_gamma 90.00
loop_
_atom_site_label
_atom_site_fract_x
_atom_site_fract_y
_atom_site_fract_z
K1 0.179 0.679 0.500
K2 0.679 0.821 0.500
K3 0.821 0.321 0.500
K4 0.321 0.179 0.500
Ga1 0.000 0.000 0.000
Ga2 0.500 0.500 0.000
In1 0.360 0.860 0.000
In2 0.860 0.640 0.000
In3 0.640 0.140 0.000
In4 0.140 0.360 0.000
# * calculated volume: 33.98 A^3/atom
# * magnetic moment: 0.00 μB/atom
# * SG: P4/mbm (127)

Most stable one: <Q>, least stable one: <P>.

<P>
# KIn3Ga (PBE, optimized geometry)
data_KIn3Ga
_space_group_name_H-M_alt 'P 1'
_space_group_IT_number 1
_space_group_name_Hall 'P 1'
_cell_length_a 6.339
_cell_length_b 7.392
_cell_length_c 7.392
_cell_angle_alpha 120.05
_cell_angle_beta 90.00
_cell_angle_gamma 90.00
loop_
_atom_site_label
_atom_site_fract_x
_atom_site_fract_y
_atom_site_fract_z
K1 0.750 0.667 0.334
K2 0.250 0.333 0.666
In1 0.750 0.625 0.813
In2 0.250 0.813 0.625
In3 0.250 0.375 0.187
In4 0.750 0.187 0.375
In5 0.250 0.812 0.188
In6 0.750 0.188 0.812
Ga1 0.000 0.000 0.000
Ga2 0.500 0.000 0.000
# * calculated volume: 29.98 A^3/atom
# * magnetic moment: 0.00 μB/atom
# * SG: Cmcm (63)

<Q>
# KIn3Ga (PBE, optimized geometry)
data_KIn3Ga
_space_group_name_H-M_alt 'P 1'
_space_group_IT_number 1
_space_group_name_Hall 'P 1'
_cell_length_a 4.840
_cell_length_b 4.840
_cell_length_c 6.338
_cell_angle_alpha 90.00
_cell_angle_beta 90.00
_cell_angle_gamma 90.00
loop_
_atom_site_label
_atom_site_fract_x
_atom_site_fract_y
_atom_site_fract_z
K1 0.500 0.500 0.858
In1 0.000 0.000 0.642
In2 0.500 0.000 0.339
In3 0.000 0.500 0.339
Ga1 0.000 0.000 0.085
# * calculated volume: 29.69 A^3/atom
# * magnetic moment: 0.00 μB/atom
# * SG: P4mm (99)

Most stable one: <Q>, least stable one: <P>.